1.
Computed, not measured: a relaxed LiZn2Ag2Au4 crystal at the PBE level of DFT.

Calculated values
As for the space group: P-1 (2). The value obtained for the total magnetization is 0.000 μB/atom. Its crystal system is triclinic. The value obtained for the formation energy is -0.18 eV/atom.

a b c (Å): 4.9124 5.3527 6.8486
angles (deg): 84.38 70.73 65.66
Last column: nearest neighbours and their distance in Å.
Fractional positions:
1 Li 0.0000 0.0000 0.0000  4 Au 2.66-2.92, 2 Zn 2.70
2 Zn 0.2238 0.1231 0.2721  6 Au 2.66-2.83, 1 Li 2.70, 2 Ag 2.70-2.74
3 Zn 0.7762 0.8769 0.7279  6 Au 2.66-2.83, 1 Li 2.70, 2 Ag 2.70-2.74
4 Ag 0.3341 0.3772 0.9113  2 Zn 2.70-2.74, 4 Au 2.82-2.96, 1 Ag 2.85, 1 Li 3.00
5 Ag 0.6659 0.6228 0.0887  2 Zn 2.70-2.74, 4 Au 2.82-2.96, 1 Ag 2.85, 1 Li 3.00
6 Au 0.0499 0.6733 0.3168  1 Li 2.66, 3 Zn 2.73-2.83, 3 Ag 2.82-2.94, 2 Au 2.86-2.98
7 Au 0.3956 0.7695 0.5819  3 Zn 2.66-2.81, 2 Au 2.84-2.86, 1 Li 2.92, 1 Ag 2.96
8 Au 0.6044 0.2305 0.4181  3 Zn 2.66-2.81, 2 Au 2.84-2.86, 1 Li 2.92, 1 Ag 2.96
9 Au 0.9501 0.3267 0.6832  1 Li 2.66, 3 Zn 2.73-2.83, 3 Ag 2.82-2.94, 2 Au 2.86-2.98

***

2.
Computed, not measured: a relaxed LiZn2Ag3Au3 crystal at the PBE level of DFT.

Calculated values
As for the space group: P-62m (189). The value obtained for the total magnetization is 0.000 μB/atom. Its crystal system is hexagonal. The value obtained for the formation energy is -0.18 eV/atom.

a b c (Å): 7.6839 7.6839 2.9093
angles (deg): 90.00 90.00 120.00
Last column: nearest neighbours and their distance in Å.
Fractional positions:
1 Li 0.0000 0.0000 0.0000  6 Ag 2.71, 3 Au 2.78, 2 Li 2.91
2 Zn 0.3333 0.6667 0.5000  3 Ag 2.71, 6 Au 2.86, 2 Zn 2.91
3 Zn 0.6667 0.3333 0.5000  3 Ag 2.71, 6 Au 2.86, 2 Zn 2.91
4 Ag 0.0000 0.2981 0.5000  2 Zn 2.71, 2 Li 2.71, 2 Ag 2.91, 6 Au 2.95-2.99
5 Ag 0.2981 0.0000 0.5000  2 Zn 2.71, 2 Li 2.71, 2 Ag 2.91, 6 Au 2.95-2.99
6 Ag 0.7019 0.7019 0.5000  2 Zn 2.71, 2 Li 2.71, 2 Ag 2.91, 6 Au 2.95-2.99
7 Au 0.0000 0.6385 0.0000  1 Li 2.78, 4 Zn 2.86, 2 Au 2.91, 6 Ag 2.95-2.99
8 Au 0.3615 0.3615 0.0000  1 Li 2.78, 4 Zn 2.86, 2 Au 2.91, 6 Ag 2.95-2.99
9 Au 0.6385 0.0000 0.0000  1 Li 2.78, 4 Zn 2.86, 2 Au 2.91, 6 Ag 2.95-2.99

***

3.
Computed, not measured: a relaxed LiZnAgAu2 crystal at the PBE level of DFT.

Calculated values
As for the space group: P2_1/m (11). The value obtained for the total magnetization is 0.000 μB/atom. Its crystal system is monoclinic. The value obtained for the formation energy is -0.28 eV/atom.

a b c (Å): 5.9093 4.1909 6.7016
angles (deg): 90.00 96.77 90.00
Last column: nearest neighbours and their distance in Å.
Fractional positions:
1 Li 0.1579 0.2500 0.0572  6 Au 2.66-2.91, 1 Ag 2.68, 2 Li 2.85, 1 Zn 2.90
2 Li 0.8421 0.7500 0.9428  6 Au 2.66-2.91, 1 Ag 2.68, 2 Li 2.85, 1 Zn 2.90
3 Zn 0.2532 0.7500 0.7461  6 Au 2.68-2.98, 1 Ag 2.80, 1 Li 2.90
4 Zn 0.7468 0.2500 0.2539  6 Au 2.68-2.98, 1 Ag 2.80, 1 Li 2.90
5 Ag 0.3467 0.2500 0.4404  1 Li 2.68, 1 Zn 2.80, 2 Ag 2.82, 4 Au 2.86-2.92
6 Ag 0.6533 0.7500 0.5596  1 Li 2.68, 1 Zn 2.80, 2 Ag 2.82, 4 Au 2.86-2.92
7 Au 0.0287 0.7500 0.3232  3 Li 2.66-2.91, 2 Zn 2.68, 3 Ag 2.86-2.87, 1 Au 2.91
8 Au 0.4510 0.7500 0.1406  3 Li 2.73-2.80, 3 Zn 2.76-2.78, 3 Au 2.91-2.92, 3 Ag 2.92-3.02
9 Au 0.5490 0.2500 0.8594  3 Li 2.73-2.80, 3 Zn 2.76-2.78, 3 Au 2.91-2.92, 3 Ag 2.92-3.02
10 Au 0.9713 0.2500 0.6768  3 Li 2.66-2.91, 2 Zn 2.68, 3 Ag 2.86-2.87, 1 Au 2.91

***

4.
Computed, not measured: a relaxed LiZn2AgAu crystal at the PBE level of DFT.

Calculated values
As for the space group: C2/m (12). The value obtained for the total magnetization is 0.000 μB/atom. Its crystal system is monoclinic. The value obtained for the formation energy is -0.23 eV/atom.

a b c (Å): 6.9969 6.9969 5.5396
angles (deg): 100.74 100.74 37.05
Last column: nearest neighbours and their distance in Å.
Fractional positions:
1 Li 0.1072 0.1072 0.4473  5 Zn 2.69-2.84, 2 Ag 2.77, 1 Au 2.90
2 Li 0.8928 0.8928 0.5527  5 Zn 2.69-2.84, 2 Ag 2.77, 1 Au 2.90
3 Zn 0.1035 0.1035 0.9550  2 Li 2.72-2.82, 2 Ag 2.72, 3 Au 2.77-2.82, 1 Zn 2.89
4 Zn 0.3064 0.3064 0.3298  1 Ag 2.64, 4 Au 2.65-2.84, 3 Li 2.69-2.84
5 Zn 0.6936 0.6936 0.6702  1 Ag 2.64, 4 Au 2.65-2.84, 3 Li 2.69-2.84
6 Zn 0.8965 0.8965 0.0450  2 Li 2.72-2.82, 2 Ag 2.72, 3 Au 2.77-2.82, 1 Zn 2.89
7 Ag 0.4965 0.4965 0.2503  3 Zn 2.64-2.72, 2 Ag 2.75-2.79, 2 Li 2.77, 1 Au 2.84
8 Ag 0.5035 0.5035 0.7497  3 Zn 2.64-2.72, 2 Ag 2.75-2.79, 2 Li 2.77, 1 Au 2.84
9 Au 0.2964 0.2964 0.8135  7 Zn 2.65-2.84, 1 Ag 2.84, 1 Li 2.90
10 Au 0.7036 0.7036 0.1865  7 Zn 2.65-2.84, 1 Ag 2.84, 1 Li 2.90

***

5.
Computed, not measured: a relaxed LiZnAg2Au crystal at the PBE level of DFT.

Calculated values
As for the space group: Cmcm (63). The value obtained for the total magnetization is 0.000 μB/atom. Its crystal system is orthorhombic. The value obtained for the formation energy is -0.07 eV/atom.

a b c (Å): 7.0090 7.0090 5.5208
angles (deg): 90.00 90.00 133.67
Last column: nearest neighbours and their distance in Å.
Fractional positions:
1 Li 0.2492 0.7508 0.7500  4 Au 2.96-2.97, 4 Zn 3.08
2 Li 0.7508 0.2492 0.2500  4 Au 2.96-2.97, 4 Zn 3.08
3 Zn 0.1434 0.8566 0.2500  1 Au 2.47, 4 Ag 2.69
4 Zn 0.8566 0.1434 0.7500  1 Au 2.47, 4 Ag 2.69
5 Ag 0.2510 0.2510 0.0000  2 Zn 2.69, 4 Ag 2.75-2.77, 2 Au 2.88
6 Ag 0.2510 0.2510 0.5000  2 Zn 2.69, 4 Ag 2.75-2.77, 2 Au 2.88
7 Ag 0.7490 0.7490 0.0000  2 Zn 2.69, 4 Ag 2.75-2.77, 2 Au 2.88
8 Ag 0.7490 0.7490 0.5000  2 Zn 2.69, 4 Ag 2.75-2.77, 2 Au 2.88
9 Au 0.3352 0.6648 0.2500  1 Zn 2.47
10 Au 0.6648 0.3352 0.7500  1 Zn 2.47

***

6.
Computed, not measured: a relaxed Li3Zn3AgAu2 crystal at the PBE level of DFT.

Calculated values
As for the space group: P-62m (189). The value obtained for the total magnetization is 0.000 μB/atom. Its crystal system is hexagonal. The value obtained for the formation energy is -0.28 eV/atom.

a b c (Å): 7.6180 7.6180 2.8232
angles (deg): 90.00 90.00 120.00
Last column: nearest neighbours and their distance in Å.
Fractional positions:
1 Li 0.0000 0.6967 0.0000  2 Au 2.66, 2 Ag 2.71, 2 Li 2.82, 6 Zn 2.91-2.93
2 Li 0.3033 0.3033 0.0000  2 Au 2.66, 2 Ag 2.71, 2 Li 2.82, 6 Zn 2.91-2.93
3 Li 0.6967 0.0000 0.0000  2 Au 2.66, 2 Ag 2.71, 2 Li 2.82, 6 Zn 2.91-2.93
4 Zn 0.0000 0.3634 0.5000  1 Ag 2.77, 4 Au 2.81, 2 Zn 2.82, 6 Li 2.91-2.93
5 Zn 0.3634 0.0000 0.5000  1 Ag 2.77, 4 Au 2.81, 2 Zn 2.82, 6 Li 2.91-2.93
6 Zn 0.6366 0.6366 0.5000  1 Ag 2.77, 4 Au 2.81, 2 Zn 2.82, 6 Li 2.91-2.93
7 Ag 0.0000 0.0000 0.5000  6 Li 2.71, 3 Zn 2.77, 2 Ag 2.82
8 Au 0.3333 0.6667 0.0000  3 Li 2.66, 6 Zn 2.81, 2 Au 2.82
9 Au 0.6667 0.3333 0.0000  3 Li 2.66, 6 Zn 2.81, 2 Au 2.82

***

7.
Computed, not measured: a relaxed LiZr2AgAu crystal at the PBE level of DFT.

Calculated values
As for the space group: P4/mmm (123). The value obtained for the total magnetization is 0.000 μB/atom. Its crystal system is tetragonal. The value obtained for the formation energy is 0.63 eV/atom.

a b c (Å): 5.1941 5.1941 4.3094
angles (deg): 90.00 90.00 90.00
Last column: nearest neighbours and their distance in Å.
Fractional positions:
1 Li 0.0000 0.0000 0.0000  2 Ag 2.15
2 Zr 0.0000 0.5000 0.5000  2 Ag 2.60
3 Zr 0.5000 0.0000 0.5000  2 Ag 2.60
4 Ag 0.0000 0.0000 0.5000  2 Li 2.15
5 Au 0.5000 0.5000 0.0000  8 Zr 3.37, 4 Li 3.67

***

8.
Computed, not measured: a relaxed Li2ZrAgAu crystal at the PBE level of DFT.

Calculated values
As for the space group: P4/mmm (123). The value obtained for the total magnetization is 0.000 μB/atom. Its crystal system is tetragonal. The value obtained for the formation energy is 0.23 eV/atom.

a b c (Å): 4.6621 4.6621 5.2568
angles (deg): 90.00 90.00 90.00
Last column: nearest neighbours and their distance in Å.
Fractional positions:
1 Li 0.0000 0.5000 0.0000  2 Au 2.33
2 Li 0.5000 0.0000 0.0000  2 Au 2.33
3 Zr 0.0000 0.0000 0.5000  2 Au 2.63
4 Ag 0.5000 0.5000 0.5000  4 Zr 3.30, 8 Li 3.51
5 Au 0.0000 0.0000 0.0000  4 Li 2.33